Entry 1:
A plane-wave DFT calculation with GGA-PBE was carried out for an optimized crystal structure of Ce2ErNbN4.

Computed properties:
- SG = No. 10
- uncorrected energy (eV/cell) = -71.50
- theoretical density (Mg/m³) = 8.88
- calculated volume (A^3/atom) = 13.9
- magnetic moment (μB/f.u.) = 0.00
- uncorrected formation energy (eV per atom) = -1.462

Cell: 5.8706 3.3821 5.9466 Å, 90.00 109.10 90.00°
Sites, in units of the cell vectors:
1 Ce 0.0000 0.0000 0.0000
2 Ce 0.5000 0.5000 0.0000
3 Er 0.0000 0.5000 0.5000
4 Nb 0.5000 0.0000 0.5000
5 N 0.2580 0.0000 0.7288
6 N 0.2696 0.5000 0.2760
7 N 0.7304 0.5000 0.7240
8 N 0.7420 0.0000 0.2712

Entry 2:
A plane-wave DFT calculation with GGA-PBE was carried out for an optimized crystal structure of LaPd4Pt.

Computed properties:
- SG = No. 51
- uncorrected energy (eV/cell) = -69.08
- formation energy from the elements (eV per atom) = -0.467
- theoretical density (Mg/m³) = 11.16
- calculated volume (A^3/atom) = 18.8
- magnetic moment (μB/f.u.) = 0.00
- energy above the lowest structure with this stoichiometry (eV per atom) = 0.008

Cell: 7.7004 4.2332 6.9330 Å, 90.00 90.00 90.00°
Sites, in units of the cell vectors:
1 La 0.2500 0.0000 0.1568
2 La 0.7500 0.0000 0.8432
3 Pd 0.0000 0.0000 0.5000
4 Pd 0.0361 0.5000 0.7996
5 Pd 0.2500 0.5000 0.4704
6 Pd 0.4639 0.5000 0.7996
7 Pd 0.5000 0.0000 0.5000
8 Pd 0.5361 0.5000 0.2004
9 Pd 0.7500 0.5000 0.5296
10 Pd 0.9639 0.5000 0.2004
11 Pt 0.2500 0.0000 0.7616
12 Pt 0.7500 0.0000 0.2384

Entry 3:
A plane-wave DFT calculation with GGA-PBE was carried out for an optimized crystal structure of SbTe2RuO.

Computed properties:
- SG = No. 123
- uncorrected energy (eV/cell) = -22.19
- theoretical density (Mg/m³) = 7.99
- calculated volume (A^3/atom) = 20.5
- magnetic moment (μB/f.u.) = 0.00
- energy above the lowest structure with this stoichiometry (eV per atom) = 0.000
- uncorrected formation energy (eV per atom) = 0.491

Cell: 4.7222 4.7222 4.6029 Å, 90.00 90.00 90.00°
Sites, in units of the cell vectors:
1 Sb 0.0000 0.0000 0.0000
2 Te 0.0000 0.5000 0.5000
3 Te 0.5000 0.0000 0.5000
4 Ru 0.5000 0.5000 0.0000
5 O 0.0000 0.0000 0.5000

Please write out number 3 again, unchanged.
A plane-wave DFT calculation with GGA-PBE was carried out for an optimized crystal structure of SbTe2RuO.

Computed properties:
- SG = No. 123
- uncorrected energy (eV/cell) = -22.19
- theoretical density (Mg/m³) = 7.99
- calculated volume (A^3/atom) = 20.5
- magnetic moment (μB/f.u.) = 0.00
- energy above the lowest structure with this stoichiometry (eV per atom) = 0.000
- uncorrected formation energy (eV per atom) = 0.491

Cell: 4.7222 4.7222 4.6029 Å, 90.00 90.00 90.00°
Sites, in units of the cell vectors:
1 Sb 0.0000 0.0000 0.0000
2 Te 0.0000 0.5000 0.5000
3 Te 0.5000 0.0000 0.5000
4 Ru 0.5000 0.5000 0.0000
5 O 0.0000 0.0000 0.5000

Question: calculated volume of number 1 (Ce2ErNbN4)?
Answer: 13.9 A^3/atom

Repeat the first record exactly.
A plane-wave DFT calculation with GGA-PBE was carried out for an optimized crystal structure of Ce2ErNbN4.

Computed properties:
- SG = No. 10
- uncorrected energy (eV/cell) = -71.50
- theoretical density (Mg/m³) = 8.88
- calculated volume (A^3/atom) = 13.9
- magnetic moment (μB/f.u.) = 0.00
- uncorrected formation energy (eV per atom) = -1.462

Cell: 5.8706 3.3821 5.9466 Å, 90.00 109.10 90.00°
Sites, in units of the cell vectors:
1 Ce 0.0000 0.0000 0.0000
2 Ce 0.5000 0.5000 0.0000
3 Er 0.0000 0.5000 0.5000
4 Nb 0.5000 0.0000 0.5000
5 N 0.2580 0.0000 0.7288
6 N 0.2696 0.5000 0.2760
7 N 0.7304 0.5000 0.7240
8 N 0.7420 0.0000 0.2712